1.
Material: ReICl3
Method: DFT, PBE-GGA
State: optimized geometry

abc: 5.5906 5.5906 5.5906
angles: 90.00 90.00 90.00
With the nearest neighbours (Å) after each atom.
Sites, in units of the cell vectors:
Re1 0.0000 0.0000 0.0000  12 Cl 3.95
I1 0.5000 0.5000 0.5000  6 Cl 2.80
Cl1 0.0000 0.5000 0.5000  2 I 2.80
Cl2 0.5000 0.0000 0.5000  2 I 2.80
Cl3 0.5000 0.5000 0.0000  2 I 2.80

## Properties
**ΔE_f (raw)**: 1232 meV per atom
**Crystal system**: cubic
**Energy relative to the lowest polymorph listed for this composition**: 1664 meV/atom

***

2.
Material: ReICl2
Method: DFT, PBE-GGA
State: optimized geometry

abc: 6.8509 6.8509 6.8509
angles: 116.92 116.92 95.43
With the nearest neighbours (Å) after each atom.
Sites, in units of the cell vectors:
Re1 0.0000 0.0000 0.0000  4 Cl 2.26
Re2 0.7500 0.2500 0.5000  4 Cl 2.26
I1 0.2500 0.7500 0.5000  8 Cl 3.55-3.96
I2 0.5000 0.5000 0.0000  8 Cl 3.55-3.96
Cl1 0.3750 0.2292 0.3542  2 Re 2.26
Cl2 0.7708 0.1250 0.1458  2 Re 2.26
Cl3 0.8750 0.0208 0.6458  2 Re 2.26
Cl4 0.9792 0.6250 0.8542  2 Re 2.26

## Properties
**ΔE_f (raw)**: 523 meV per atom
**Crystal system**: tetragonal
**Energy relative to the lowest polymorph listed for this composition**: 290 meV/atom

***

3.
Material: ReI2Cl
Method: DFT, PBE-GGA
State: optimized geometry

abc: 4.9525 4.9525 4.9525
angles: 60.00 60.00 60.00
With the nearest neighbours (Å) after each atom.
Sites, in units of the cell vectors:
Re1 0.0000 0.0000 0.0000  8 I 3.03
I1 0.2500 0.2500 0.2500  4 Cl 3.03, 4 Re 3.03
I2 0.7500 0.7500 0.7500  4 Cl 3.03, 4 Re 3.03
Cl1 0.5000 0.5000 0.5000  8 I 3.03

## Properties
**ΔE_f (raw)**: 1059 meV per atom
**Crystal system**: cubic
**Energy relative to the lowest polymorph listed for this composition**: 473 meV/atom

***

4.
Material: ReICl2
Method: DFT, PBE-GGA
State: optimized geometry

abc: 12.8990 12.8990 12.8990
angles: 13.88 13.88 13.88
With the nearest neighbours (Å) after each atom.
Sites, in units of the cell vectors:
Re1 0.0000 0.0000 0.0000  2 Cl 2.22
I1 0.5000 0.5000 0.5000  6 I 3.12
Cl1 0.0579 0.0579 0.0579  1 Re 2.22
Cl2 0.9421 0.9421 0.9421  1 Re 2.22

## Properties
**ΔE_f (raw)**: 233 meV per atom
**Crystal system**: trigonal
**Energy relative to the lowest polymorph listed for this composition**: 0 meV/atom

***

5.
Material: ReI3Cl
Method: DFT, PBE-GGA
State: optimized geometry

abc: 5.4095 5.4095 5.4095
angles: 90.00 90.00 90.00
With the nearest neighbours (Å) after each atom.
Sites, in units of the cell vectors:
Re1 0.0000 0.0000 0.0000  6 I 2.70
I1 0.0000 0.0000 0.5000  2 Re 2.70
I2 0.0000 0.5000 0.0000  2 Re 2.70
I3 0.5000 0.0000 0.0000  2 Re 2.70
Cl1 0.5000 0.5000 0.5000  12 I 3.83

## Properties
**ΔE_f (raw)**: 546 meV per atom
**Crystal system**: cubic
**Energy relative to the lowest polymorph listed for this composition**: 545 meV/atom

***

6.
Material: ReI3Cl
Method: DFT, PBE-GGA
State: optimized geometry

abc: 5.7739 5.7739 5.7739
angles: 90.00 90.00 90.00
With the nearest neighbours (Å) after each atom.
Sites, in units of the cell vectors:
Re1 0.0000 0.0000 0.0000  12 I 4.08
I1 0.0000 0.5000 0.5000  2 Cl 2.89
I2 0.5000 0.0000 0.5000  2 Cl 2.89
I3 0.5000 0.5000 0.0000  2 Cl 2.89
Cl1 0.5000 0.5000 0.5000  6 I 2.89

## Properties
**ΔE_f (raw)**: 1495 meV per atom
**Crystal system**: cubic
**Energy relative to the lowest polymorph listed for this composition**: 1494 meV/atom

***

7.
Material: ReICl2
Method: DFT, PBE-GGA
State: optimized geometry

abc: 5.1201 5.1201 5.1201
angles: 60.00 60.00 60.00
With the nearest neighbours (Å) after each atom.
Sites, in units of the cell vectors:
Re1 0.0000 0.0000 0.0000  8 Cl 3.14
I1 0.5000 0.5000 0.5000  8 Cl 3.14
Cl1 0.2500 0.2500 0.2500  4 Re 3.14, 4 I 3.14
Cl2 0.7500 0.7500 0.7500  4 Re 3.14, 4 I 3.14

## Properties
**ΔE_f (raw)**: 1319 meV per atom
**Crystal system**: cubic
**Energy relative to the lowest polymorph listed for this composition**: 1086 meV/atom

***

8.
Material: ReI2Cl
Method: DFT, PBE-GGA
State: optimized geometry

abc: 7.1322 7.1322 7.1322
angles: 117.24 117.24 94.86
With the nearest neighbours (Å) after each atom.
Sites, in units of the cell vectors:
Re1 0.0000 0.0000 0.0000  4 I 2.57
Re2 0.7500 0.2500 0.5000  4 I 2.57
I1 0.0498 0.1250 0.4248  2 Re 2.57
I2 0.3750 0.9502 0.0752  2 Re 2.57
I3 0.7002 0.6250 0.5752  2 Re 2.57
I4 0.8750 0.2998 0.9248  2 Re 2.57
Cl1 0.2500 0.7500 0.5000  4 I 3.28
Cl2 0.5000 0.5000 0.0000  4 I 3.28

## Properties
**ΔE_f (raw)**: 585 meV per atom
**Crystal system**: tetragonal
**Energy relative to the lowest polymorph listed for this composition**: 0 meV/atom

***

9.
Material: ReI3Cl
Method: DFT, PBE-GGA
State: optimized geometry

abc: 9.3872 7.5014 14.9488
angles: 90.00 127.92 90.00
With the nearest neighbours (Å) after each atom.
Sites, in units of the cell vectors:
Re1 0.1411 0.0218 0.0026  1 Cl 2.36, 1 Re 2.62, 2 I 2.63-2.64
Re2 0.1411 0.4782 0.5026  1 Cl 2.36, 1 Re 2.62, 2 I 2.63-2.64
Re3 0.8589 0.5218 0.4974  1 Cl 2.36, 1 Re 2.62, 2 I 2.63-2.64
Re4 0.8589 0.9782 0.9974  1 Cl 2.36, 1 Re 2.62, 2 I 2.63-2.64
I1 0.1643 0.6678 0.6663  2 Re 2.63-2.72
I2 0.1643 0.8322 0.1663  2 Re 2.63-2.72
I3 0.1689 0.7151 0.9282  1 Re 2.64
I4 0.1689 0.7849 0.4282  1 Re 2.64
I5 0.3255 0.2245 0.6579  1 Re 2.66
I6 0.3255 0.2755 0.1579  1 Re 2.66
I7 0.6745 0.7245 0.8421  1 Re 2.66
I8 0.6745 0.7755 0.3421  1 Re 2.66
I9 0.8311 0.2151 0.5718  1 Re 2.64
I10 0.8311 0.2849 0.0718  1 Re 2.64
I11 0.8357 0.1678 0.8337  2 Re 2.63-2.72
I12 0.8357 0.3322 0.3337  2 Re 2.63-2.72
Cl1 0.2532 0.1525 0.9132  1 Re 2.36
Cl2 0.2532 0.3475 0.4132  1 Re 2.36
Cl3 0.7468 0.6525 0.5868  1 Re 2.36
Cl4 0.7468 0.8475 0.0868  1 Re 2.36

## Properties
**ΔE_f (raw)**: 0 meV per atom
**Crystal system**: monoclinic
**Energy relative to the lowest polymorph listed for this composition**: 0 meV/atom

***

10.
Material: ReI2Cl2
Method: DFT, PBE-GGA
State: optimized geometry

abc: 7.6837 7.6837 7.6837
angles: 124.86 111.67 93.39
With the nearest neighbours (Å) after each atom.
Sites, in units of the cell vectors:
Re1 0.0000 0.1902 0.1902  2 Cl 2.32
Re2 0.0000 0.8098 0.8098  2 Cl 2.32
I1 0.1710 0.6710 0.5000  2 Re 2.85
I2 0.2190 0.2190 0.0000  2 Re 2.68
I3 0.7810 0.7810 0.0000  2 Re 2.68
I4 0.8290 0.3290 0.5000  2 Re 2.85
Cl1 0.2683 0.2203 0.4886  1 Re 2.32
Cl2 0.2683 0.7797 0.0479  1 Re 2.32
Cl3 0.7317 0.2203 0.9521  1 Re 2.32
Cl4 0.7317 0.7797 0.5114  1 Re 2.32

## Properties
**ΔE_f (raw)**: -277 meV per atom
**Crystal system**: orthorhombic

***

11.
Material: Re2I4Cl5
Method: DFT, PBE-GGA
State: optimized geometry

abc: 7.2881 7.3182 7.3908
angles: 98.68 98.10 112.82
With the nearest neighbours (Å) after each atom.
Sites, in units of the cell vectors:
Re1 0.0000 0.0000 0.0000  2 Cl 2.30-2.31
Re2 0.1027 0.8852 0.6566  3 Cl 2.30-2.55
I1 0.2170 0.7759 0.9605  2 Re 2.63-2.70
I2 0.3060 0.6758 0.4984  1 Re 2.76
I3 0.8129 0.2256 0.1603  1 Re 2.76
I4 0.8924 0.1151 0.6989  2 Re 2.62-2.69
Cl1 0.3061 0.2788 0.1217  1 Re 2.30
Cl2 0.3929 0.1803 0.7014  1 Re 2.30
Cl3 0.6961 0.7135 0.9280  1 Re 2.31
Cl4 0.8059 0.5886 0.5627  1 Re 2.31
Cl5 0.9908 0.8855 0.3131  2 Re 2.55-2.58

## Properties
**ΔE_f (raw)**: -248 meV per atom
**Crystal system**: triclinic

***

12.
Material: Re3ICl
Method: DFT, PBE-GGA
State: optimized geometry

abc: 4.9340 4.9340 4.9340
angles: 90.00 90.00 90.00
With the nearest neighbours (Å) after each atom.
Sites, in units of the cell vectors:
Re1 0.0000 0.0000 0.5000  2 I 2.47
Re2 0.0000 0.5000 0.0000  2 I 2.47
Re3 0.5000 0.0000 0.0000  2 I 2.47
I1 0.0000 0.0000 0.0000  6 Re 2.47
Cl1 0.5000 0.5000 0.5000  12 Re 3.49

## Properties
**ΔE_f (raw)**: 3168 meV per atom
**Crystal system**: cubic
**Energy relative to the lowest polymorph listed for this composition**: 871 meV/atom

***

Which of these has the highest ΔE_f (raw)?
Re3ICl